Record 1
## SrLiAc2 (PBE-GGA)

Data for crystalline SrLiAc2 at its relaxed geometry.

The structure in POSCAR format:
```
SrLiAc2
1.0
1.979 1.143 12.335
-1.979 1.143 12.335
0.000 -2.285 12.335
Sr Li Ac
1 1 2
Direct
0.000 0.000 0.000
0.833 0.833 0.833
0.241 0.241 0.241
0.425 0.425 0.425
```

Values from the calculation:
Calculated formation energy: 0.133 eV/atom
VASP energy: -2.82 eV/atom
ΔE to the lowest computed polymorph: 32 meV/atom

=====

Record 2
## Sr2Li16Ac (PBE-GGA)

Data for crystalline Sr2Li16Ac at its relaxed geometry.

The structure in POSCAR format:
```
Sr2Li16Ac
1.0
5.221 3.014 5.123
-5.221 3.014 5.123
0.000 -6.029 5.123
Sr Li Ac
2 16 1
Direct
0.000 0.000 0.000
0.301 0.301 0.301
0.167 0.634 0.634
0.302 0.302 0.791
0.302 0.791 0.302
0.334 0.642 0.942
0.334 0.942 0.642
0.477 0.996 0.996
0.535 0.535 0.535
0.634 0.167 0.634
0.634 0.634 0.167
0.642 0.334 0.942
0.642 0.942 0.334
0.791 0.302 0.302
0.942 0.334 0.642
0.942 0.642 0.334
0.996 0.477 0.996
0.996 0.996 0.477
0.744 0.744 0.744
```

Values from the calculation:
Calculated formation energy: 0.041 eV/atom
VASP energy: -1.96 eV/atom

=====

Record 3
## Sr2Li9Ac (PBE-GGA)

Data for crystalline Sr2Li9Ac at its relaxed geometry.

The structure in POSCAR format:
```
Sr2Li9Ac
1.0
3.178 1.835 9.707
-3.178 1.835 9.707
0.000 -3.670 9.707
Sr Li Ac
2 9 1
Direct
0.139 0.139 0.139
0.861 0.861 0.861
0.082 0.577 0.577
0.332 0.332 0.332
0.423 0.423 0.918
0.423 0.918 0.423
0.500 0.500 0.500
0.577 0.082 0.577
0.577 0.577 0.082
0.668 0.668 0.668
0.918 0.423 0.423
0.000 0.000 0.000
```

Values from the calculation:
Calculated formation energy: 0.037 eV/atom
VASP energy: -2.02 eV/atom

=====

Record 4
## Sr3Li8Ac (PBE-GGA)

Data for crystalline Sr3Li8Ac at its relaxed geometry.

The structure in POSCAR format:
```
Sr3Li8Ac
1.0
6.430 0.000 0.000
-3.215 5.569 0.000
0.000 0.000 10.381
Sr Li Ac
3 8 1
Direct
0.000 0.000 0.000
0.000 0.000 0.379
0.333 0.667 0.872
0.336 0.168 0.685
0.502 0.003 0.191
0.502 0.498 0.191
0.667 0.333 0.437
0.667 0.333 0.936
0.832 0.168 0.685
0.832 0.664 0.685
0.997 0.498 0.191
0.333 0.667 0.497
```

Values from the calculation:
Calculated formation energy: 0.033 eV/atom
VASP energy: -2.01 eV/atom

=====

Record 5
## Sr3LiAc2Te6 (PBE-GGA)

Data for crystalline Sr3LiAc2Te6 at its relaxed geometry.

The structure in POSCAR format:
```
Sr3LiAc2Te6
1.0
4.067 -7.045 0.000
4.067 7.045 0.000
-2.725 0.000 7.703
Sr Li Ac Te
3 1 2 6
Direct
0.000 0.000 0.000
0.331 0.669 0.000
0.669 0.331 0.000
0.500 0.500 0.500
0.166 0.834 0.500
0.834 0.166 0.500
0.094 0.419 0.256
0.257 0.257 0.746
0.419 0.094 0.256
0.581 0.906 0.744
0.743 0.743 0.254
0.906 0.581 0.744
```

Values from the calculation:
VASP energy: -4.39 eV/atom
E_form (uncorrected): -150 kJ per mole of atoms

=====

Record 6
## Sr2LiAcTe4 (PBE-GGA)

Data for crystalline Sr2LiAcTe4 at its relaxed geometry.

The structure in POSCAR format:
```
Sr2LiAcTe4
1.0
8.032 0.000 0.000
0.000 4.735 0.000
-2.655 0.000 7.690
Sr Li Ac Te
2 1 1 4
Direct
0.000 0.000 0.000
0.500 0.500 0.000
0.000 0.500 0.500
0.500 0.000 0.500
0.244 0.000 0.742
0.244 0.500 0.258
0.756 0.000 0.258
0.756 0.500 0.742
```

Values from the calculation:
VASP energy: -4.27 eV/atom
E_form (uncorrected): -147 kJ per mole of atoms

=====

Record 7
## Sr2Li2AcTl2 (PBE-GGA)

Data for crystalline Sr2Li2AcTl2 at its relaxed geometry.

The structure in POSCAR format:
```
Sr2Li2AcTl2
1.0
2.535 1.463 10.987
-2.535 1.463 10.987
0.000 -2.927 10.987
Sr Li Ac Tl
2 2 1 2
Direct
0.119 0.119 0.119
0.881 0.881 0.881
0.392 0.392 0.392
0.608 0.608 0.608
0.000 0.000 0.000
0.272 0.272 0.272
0.728 0.728 0.728
```

Values from the calculation:
Calculated formation energy: -0.232 eV/atom
VASP energy: -2.52 eV/atom

=====

Record 8
## Sr3Li2Ac2Tl4 (PBE-GGA)

Data for crystalline Sr3Li2Ac2Tl4 at its relaxed geometry.

The structure in POSCAR format:
```
Sr3Li2Ac2Tl4
1.0
5.427 0.000 0.000
-2.714 4.700 0.000
0.000 0.000 15.157
Sr Li Ac Tl
3 2 2 4
Direct
0.000 0.000 0.000
0.000 0.000 0.249
0.000 0.000 0.751
0.333 0.667 0.137
0.667 0.333 0.863
0.333 0.667 0.575
0.667 0.333 0.425
0.333 0.667 0.340
0.333 0.667 0.876
0.667 0.333 0.124
0.667 0.333 0.660
```

Values from the calculation:
Calculated formation energy: -0.191 eV/atom
VASP energy: -2.60 eV/atom

=====

Record 9
## SrLi2Ac2Tl2 (PBE-GGA)

Data for crystalline SrLi2Ac2Tl2 at its relaxed geometry.

The structure in POSCAR format:
```
SrLi2Ac2Tl2
1.0
2.549 1.472 10.148
-2.549 1.472 10.148
0.000 -2.944 10.148
Sr Li Ac Tl
1 2 2 2
Direct
0.000 0.000 0.000
0.395 0.395 0.395
0.605 0.605 0.605
0.126 0.126 0.126
0.874 0.874 0.874
0.262 0.262 0.262
0.738 0.738 0.738
```

Values from the calculation:
Calculated formation energy: -0.198 eV/atom
VASP energy: -2.83 eV/atom

=====

Record 10
## SrLi2AcTl4 (PBE-GGA)

Data for crystalline SrLi2AcTl4 at its relaxed geometry.

The structure in POSCAR format:
```
SrLi2AcTl4
1.0
2.729 1.575 9.021
-2.729 1.575 9.021
0.000 -3.151 9.021
Sr Li Ac Tl
1 2 1 4
Direct
0.000 0.000 0.000
0.251 0.251 0.251
0.749 0.749 0.749
0.500 0.500 0.500
0.122 0.122 0.122
0.374 0.374 0.374
0.626 0.626 0.626
0.878 0.878 0.878
```

Values from the calculation:
Calculated formation energy: -0.301 eV/atom
VASP energy: -2.69 eV/atom

=====

Record 11
## Li12Ac3Tb5 (PBE-GGA)

Data for crystalline Li12Ac3Tb5 at its relaxed geometry.

The structure in POSCAR format:
```
Li12Ac3Tb5
1.0
-8.794 8.794 8.794
8.794 -8.794 8.794
8.794 8.794 -8.794
Li Ac Tb
48 12 20
Direct
0.070 0.649 0.421
0.070 0.921 0.650
0.079 0.229 0.149
0.079 0.350 0.930
0.079 0.729 0.650
0.079 0.851 0.430
0.149 0.079 0.229
0.149 0.570 0.921
0.150 0.229 0.579
0.150 0.421 0.570
0.229 0.149 0.079
0.229 0.579 0.150
0.271 0.350 0.921
0.271 0.421 0.351
0.350 0.921 0.271
0.350 0.930 0.079
0.351 0.271 0.421
0.351 0.579 0.930
0.421 0.070 0.649
0.421 0.351 0.271
0.421 0.570 0.150
0.421 0.850 0.771
0.430 0.079 0.851
0.430 0.850 0.579
0.570 0.150 0.421
0.570 0.921 0.149
0.579 0.150 0.229
0.579 0.430 0.850
0.579 0.649 0.729
0.579 0.930 0.351
0.649 0.421 0.070
0.649 0.729 0.579
0.650 0.070 0.921
0.650 0.079 0.729
0.729 0.579 0.649
0.729 0.650 0.079
0.771 0.421 0.850
0.771 0.851 0.921
0.850 0.579 0.430
0.850 0.771 0.421
0.851 0.430 0.079
0.851 0.921 0.771
0.921 0.149 0.570
0.921 0.271 0.350
0.921 0.650 0.070
0.921 0.771 0.851
0.930 0.079 0.350
0.930 0.351 0.579
0.125 0.250 0.375
0.125 0.375 0.750
0.250 0.375 0.125
0.250 0.875 0.625
0.375 0.125 0.250
0.375 0.750 0.125
0.625 0.250 0.875
0.625 0.875 0.750
0.750 0.125 0.375
0.750 0.625 0.875
0.875 0.625 0.250
0.875 0.750 0.625
0.000 0.000 0.000
0.000 0.000 0.500
0.000 0.500 0.000
0.000 0.500 0.500
0.125 0.750 0.875
0.125 0.875 0.250
0.250 0.125 0.875
0.250 0.625 0.375
0.375 0.250 0.625
0.375 0.625 0.750
0.500 0.000 0.000
0.500 0.000 0.500
0.500 0.500 0.000
0.500 0.500 0.500
0.625 0.375 0.250
0.625 0.750 0.375
0.750 0.375 0.625
0.750 0.875 0.125
0.875 0.125 0.750
0.875 0.250 0.125
```

Values from the calculation:
Calculated formation energy: 0.826 eV/atom
VASP energy: -2.10 eV/atom

=====

Record 12
## LiAcTbTc (PBE-GGA)

Data for crystalline LiAcTbTc at its relaxed geometry.

The structure in POSCAR format:
```
LiAcTbTc
1.0
0.000 3.636 3.636
3.636 0.000 3.636
3.636 3.636 0.000
Li Ac Tb Tc
1 1 1 1
Direct
0.000 0.000 0.000
0.750 0.750 0.750
0.250 0.250 0.250
0.500 0.500 0.500
```

Values from the calculation:
Calculated formation energy: 0.097 eV/atom
VASP energy: -5.16 eV/atom

=====

Record 13
## LiAcTbTe3 (PBE-GGA)

Data for crystalline LiAcTbTe3 at its relaxed geometry.

The structure in POSCAR format:
```
LiAcTbTe3
1.0
9.194 0.000 0.000
0.000 4.411 0.000
-2.445 0.000 9.433
Li Ac Tb Te
2 2 2 6
Direct
0.087 0.250 0.089
0.913 0.750 0.911
0.191 0.250 0.735
0.809 0.750 0.265
0.334 0.750 0.348
0.666 0.250 0.652
0.099 0.250 0.373
0.226 0.750 0.011
0.441 0.750 0.678
0.559 0.250 0.322
0.774 0.250 0.989
0.901 0.750 0.627
```

Values from the calculation:
VASP energy: -4.69 eV/atom
E_form (uncorrected): -130 kJ per mole of atoms

=====

Record 14
## Li2AcTbTe4 (PBE-GGA)

Data for crystalline Li2AcTbTe4 at its relaxed geometry.

The structure in POSCAR format:
```
Li2AcTbTe4
1.0
7.573 0.000 0.000
0.000 4.522 0.000
-2.702 0.000 7.378
Li Ac Tb Te
2 1 1 4
Direct
0.000 0.000 0.000
0.000 0.500 0.500
0.500 0.000 0.500
0.500 0.500 0.000
0.233 0.500 0.228
0.242 0.000 0.763
0.758 0.000 0.237
0.767 0.500 0.772
```

Values from the calculation:
VASP energy: -4.45 eV/atom
E_form (uncorrected): -126 kJ per mole of atoms

=====

Record 15
## LiAc2TbTe5 (PBE-GGA)

Data for crystalline LiAc2TbTe5 at its relaxed geometry.

The structure in POSCAR format:
```
LiAc2TbTe5
1.0
2.292 -9.657 0.000
2.292 9.657 0.000
0.000 0.000 13.507
Li Ac Tb Te
2 4 2 10
Direct
0.059 0.941 0.500
0.941 0.059 0.000
0.374 0.626 0.342
0.393 0.607 0.723
0.607 0.393 0.223
0.626 0.374 0.842
0.303 0.697 0.048
0.697 0.303 0.548
0.001 0.999 0.820
0.141 0.859 0.038
0.191 0.809 0.389
0.215 0.785 0.702
0.451 0.549 0.102
0.549 0.451 0.602
0.785 0.215 0.202
0.809 0.191 0.889
0.859 0.141 0.538
0.999 0.001 0.320
```

Values from the calculation:
VASP energy: -4.84 eV/atom
E_form (uncorrected): -140 kJ per mole of atoms

=====

Record 16
## LiAcTb2Tl4 (PBE-GGA)

Data for crystalline LiAcTb2Tl4 at its relaxed geometry.

The structure in POSCAR format:
```
LiAcTb2Tl4
1.0
2.657 1.534 9.441
-2.657 1.534 9.441
0.000 -3.068 9.441
Li Ac Tb Tl
1 1 2 4
Direct
0.000 0.000 0.000
0.500 0.500 0.500
0.259 0.259 0.259
0.741 0.741 0.741
0.114 0.114 0.114
0.371 0.371 0.371
0.629 0.629 0.629
0.886 0.886 0.886
```

Values from the calculation:
Calculated formation energy: -0.303 eV/atom
VASP energy: -3.40 eV/atom

=====

Record 17
## Li2Ac3Tb2Tl4 (PBE-GGA)

Data for crystalline Li2Ac3Tb2Tl4 at its relaxed geometry.

The structure in POSCAR format:
```
Li2Ac3Tb2Tl4
1.0
5.170 0.000 0.000
-2.585 4.478 0.000
0.000 0.000 15.467
Li Ac Tb Tl
2 3 2 4
Direct
0.333 0.667 0.131
0.667 0.333 0.869
0.000 0.000 0.000
0.000 0.000 0.252
0.000 0.000 0.748
0.333 0.667 0.572
0.667 0.333 0.428
0.333 0.667 0.366
0.333 0.667 0.874
0.667 0.333 0.126
0.667 0.333 0.634
```

Values from the calculation:
Calculated formation energy: -0.189 eV/atom
VASP energy: -3.36 eV/atom

=====

Record 18
## LiAcTbTl (PBE-GGA)

Data for crystalline LiAcTbTl at its relaxed geometry.

The structure in POSCAR format:
```
LiAcTbTl
1.0
0.000 3.936 3.936
3.936 0.000 3.936
3.936 3.936 0.000
Li Ac Tb Tl
1 1 1 1
Direct
0.000 0.000 0.000
0.250 0.250 0.250
0.750 0.750 0.750
0.500 0.500 0.500
```

Values from the calculation:
Calculated formation energy: -0.149 eV/atom
VASP energy: -3.40 eV/atom

=====

Record 19
## Li2Ac2TbTl2 (PBE-GGA)

Data for crystalline Li2Ac2TbTl2 at its relaxed geometry.

The structure in POSCAR format:
```
Li2Ac2TbTl2
1.0
2.461 1.421 10.043
-2.461 1.421 10.043
0.000 -2.841 10.043
Li Ac Tb Tl
2 2 1 2
Direct
0.119 0.119 0.119
0.881 0.881 0.881
0.378 0.378 0.378
0.622 0.622 0.622
0.500 0.500 0.500
0.225 0.225 0.225
0.775 0.775 0.775
```

Values from the calculation:
Calculated formation energy: -0.199 eV/atom
VASP energy: -3.26 eV/atom

=====

Record 20
## LiAc2Tc (PBE-GGA)

Data for crystalline LiAc2Tc at its relaxed geometry.

The structure in POSCAR format:
```
LiAc2Tc
1.0
0.000 3.786 3.786
3.786 0.000 3.786
3.786 3.786 0.000
Li Ac Tc
1 2 1
Direct
0.000 0.000 0.000
0.250 0.250 0.250
0.750 0.750 0.750
0.500 0.500 0.500
```

Values from the calculation:
Calculated formation energy: 0.192 eV/atom
VASP energy: -4.93 eV/atom
ΔE to the lowest computed polymorph: 0 meV/atom